[1]
The following is a DFT calculation (PBE) of a relaxed structure of NaGaBr2F.

Lattice parameters (Å, degrees): 5.4559 5.4559 4.1334 90.00 90.00 90.00
Closest atoms and distances in Å follow each position.
Positions (direct):
Na 0.5000 0.5000 0.5000  8 Br 3.42
Ga 0.0000 0.0000 0.0000  2 F 2.07
Br 0.0000 0.5000 0.0000  2 Ga 2.73
Br 0.5000 0.0000 0.0000  2 Ga 2.73
F 0.0000 0.0000 0.5000  2 Ga 2.07

Calculated values
- Crystal system: tetragonal
- VASP energy: -3.268 eV/atom
- Spin magnetization: 0.00 μB/atom
- Space group: P4/mmm



[2]
The following is a DFT calculation (PBE) of a relaxed structure of NaGa2BrF.

Lattice parameters (Å, degrees): 5.4373 6.0865 5.4373 90.00 90.00 90.00
Closest atoms and distances in Å follow each position.
Positions (direct):
Na 0.5000 0.5000 0.5000  4 F 3.84, 8 Ga 4.08
Ga 0.0000 0.0000 0.5000  2 Br 2.72
Ga 0.5000 0.0000 0.0000  2 Br 2.72
Br 0.0000 0.0000 0.0000  4 Ga 2.72, 2 F 3.04
F 0.0000 0.5000 0.0000  2 Br 3.04

Calculated values
- Crystal system: tetragonal
- VASP energy: -2.453 eV/atom
- Spin magnetization: 0.00 μB/atom
- Space group: P4/mmm



[3]
The following is a DFT calculation (PBE) of a relaxed structure of NbGaBr2F.

Lattice parameters (Å, degrees): 5.4377 3.9565 5.4377 90.00 90.00 90.00
Closest atoms and distances in Å follow each position.
Positions (direct):
Nb 0.5000 0.5000 0.5000  8 Br 3.36
Ga 0.0000 0.0000 0.0000  2 F 1.98
Br 0.0000 0.0000 0.5000  2 Ga 2.72
Br 0.5000 0.0000 0.0000  2 Ga 2.72
F 0.0000 0.5000 0.0000  2 Ga 1.98

Calculated values
- Crystal system: tetragonal
- VASP energy: -3.848 eV/atom
- Spin magnetization: 0.77 μB/atom
- Space group: P4/mmm



[4]
The following is a DFT calculation (PBE) of a relaxed structure of NbGaBr2F.

Lattice parameters (Å, degrees): 5.5494 3.8634 5.5494 90.00 90.00 90.00
Closest atoms and distances in Å follow each position.
Positions (direct):
Nb 0.5000 0.5000 0.5000  8 Br 3.38
Ga 0.0000 0.5000 0.0000  2 F 1.93
Br 0.0000 0.0000 0.5000  2 F 2.77
Br 0.5000 0.0000 0.0000  2 F 2.77
F 0.0000 0.0000 0.0000  2 Ga 1.93

Calculated values
- Crystal system: tetragonal
- VASP energy: -3.609 eV/atom
- Spin magnetization: 0.65 μB/atom
- Space group: P4/mmm



[5]
The following is a DFT calculation (PBE) of a relaxed structure of GaOsBrF2.

Lattice parameters (Å, degrees): 3.8308 5.5276 3.8308 90.00 90.00 90.00
Closest atoms and distances in Å follow each position.
Positions (direct):
Os 0.0000 0.5000 0.0000  4 Br 2.71, 2 Ga 2.76
Ga 0.0000 0.0000 0.0000  4 F 1.92
Br 0.5000 0.5000 0.5000  4 Os 2.71
F 0.0000 0.0000 0.5000  2 Ga 1.92
F 0.5000 0.0000 0.0000  2 Ga 1.92

Calculated values
- Crystal system: tetragonal
- VASP energy: -4.382 eV/atom
- Spin magnetization: 0.31 μB/atom
- Space group: P4/mmm



[6]
The following is a DFT calculation (PBE) of a relaxed structure of GaPd2BrF.

Lattice parameters (Å, degrees): 4.2514 5.7609 4.2514 90.00 90.00 90.00
Closest atoms and distances in Å follow each position.
Positions (direct):
Ga 0.5000 0.5000 0.5000  4 Br 3.01
Br 0.0000 0.5000 0.0000  2 F 2.88, 4 Ga 3.01
Pd 0.0000 0.0000 0.5000  2 F 2.13
Pd 0.5000 0.0000 0.0000  2 F 2.13
F 0.0000 0.0000 0.0000  4 Pd 2.13

Calculated values
- Crystal system: tetragonal
- VASP energy: -3.417 eV/atom
- Spin magnetization: 0.00 μB/atom
- Space group: P4/mmm



[7]
The following is a DFT calculation (PBE) of a relaxed structure of Rb2GaBr6F.

Lattice parameters (Å, degrees): 7.2066 7.2066 7.8695 62.75 62.75 90.00
Closest atoms and distances in Å follow each position.
Positions (direct):
Ga 0.0000 0.0000 0.0000  6 Br 2.55-2.60
Br 0.2169 0.2169 0.5662  1 Ga 2.60
Br 0.7831 0.7831 0.4338  1 Ga 2.60
Br 0.2498 0.2498 0.0000  1 Ga 2.55, 1 F 2.55
Br 0.7502 0.7502 0.0000  1 Ga 2.55, 1 F 2.55
Br 0.7502 0.2498 0.0000  1 Ga 2.55, 1 F 2.55
Br 0.2498 0.7502 0.0000  1 Ga 2.55, 1 F 2.55
Rb 0.7500 0.2500 0.5000  12 Br 3.63-3.93
Rb 0.2500 0.7500 0.5000  12 Br 3.63-3.93
F 0.5000 0.5000 0.0000  4 Br 2.55

Calculated values
- Crystal system: tetragonal
- VASP energy: -2.642 eV/atom
- Spin magnetization: 0.00 μB/atom
- Space group: I4/mmm



[8]
The following is a DFT calculation (PBE) of a relaxed structure of GaS2Br2F2.

Lattice parameters (Å, degrees): 3.6889 7.2078 7.0961 87.37 74.93 75.17
Closest atoms and distances in Å follow each position.
Positions (direct):
Ga 0.0000 0.0000 0.0000  2 F 1.81
S 0.0822 0.4684 0.3672  1 S 1.86
S 0.9178 0.5316 0.6328  1 S 1.86
Br 0.6657 0.9361 0.7324  2 Ga 2.63, 1 S 2.88
Br 0.3343 0.0639 0.2676  2 Ga 2.63, 1 S 2.88
F 0.0937 0.7495 0.0632  1 Ga 1.81
F 0.9063 0.2505 0.9368  1 Ga 1.81

Calculated values
- Crystal system: monoclinic
- VASP energy: -3.539 eV/atom
- Spin magnetization: 0.03 μB/atom
- Space group: C2/m



[9]
The following is a DFT calculation (PBE) of a relaxed structure of GaSe2BrF.

Lattice parameters (Å, degrees): 4.3708 4.3708 6.8752 90.00 90.00 90.00
Closest atoms and distances in Å follow each position.
Positions (direct):
Ga 0.5000 0.5000 0.5000  4 Br 3.09
Se 0.0000 0.5000 0.0000  2 F 2.19
Se 0.5000 0.0000 0.0000  2 F 2.19
Br 0.0000 0.0000 0.5000  4 Ga 3.09, 2 F 3.44
F 0.0000 0.0000 0.0000  4 Se 2.19

Calculated values
- Crystal system: tetragonal
- VASP energy: -2.669 eV/atom
- Spin magnetization: 0.00 μB/atom
- Space group: P4/mmm



[10]
The following is a DFT calculation (PBE) of a relaxed structure of GaSe2BrF.

Lattice parameters (Å, degrees): 5.0612 5.0612 5.0837 90.00 90.00 90.00
Closest atoms and distances in Å follow each position.
Positions (direct):
Ga 0.0000 0.0000 0.0000  4 Se 2.53, 2 Br 2.54
Se 0.0000 0.5000 0.0000  2 Ga 2.53
Se 0.5000 0.0000 0.0000  2 Ga 2.53
Br 0.0000 0.0000 0.5000  2 Ga 2.54
F 0.5000 0.5000 0.5000  4 Br 3.58, 8 Se 3.59

Calculated values
- Crystal system: tetragonal
- VASP energy: -2.564 eV/atom
- Spin magnetization: 0.55 μB/atom
- Space group: P4/mmm



[11]
The following is a DFT calculation (PBE) of a relaxed structure of SrGaBr2F.

Lattice parameters (Å, degrees): 5.8149 4.1447 5.8149 90.00 90.00 90.00
Closest atoms and distances in Å follow each position.
Positions (direct):
Sr 0.5000 0.5000 0.5000  8 Br 3.57
Ga 0.0000 0.5000 0.0000  2 F 2.07
Br 0.0000 0.0000 0.5000  2 F 2.91
Br 0.5000 0.0000 0.0000  2 F 2.91
F 0.0000 0.0000 0.0000  2 Ga 2.07

Calculated values
- Crystal system: tetragonal
- VASP energy: -3.310 eV/atom
- Spin magnetization: 0.00 μB/atom
- Space group: P4/mmm



[12]
The following is a DFT calculation (PBE) of a relaxed structure of SrGaBrF4.

Lattice parameters (Å, degrees): 6.6788 6.6788 7.4479 76.39 76.39 70.43
Closest atoms and distances in Å follow each position.
Positions (direct):
Sr 0.2197 0.2197 0.8692  4 F 2.51-2.55
Sr 0.7803 0.7803 0.1308  4 F 2.51-2.55
Ga 0.6314 0.6314 0.7372  4 F 1.79-1.82
Ga 0.3686 0.3686 0.2628  4 F 1.79-1.82
Br 0.0209 0.0209 0.2489  2 Sr 3.00-3.03, 2 F 3.33
Br 0.9791 0.9791 0.7511  2 Sr 3.00-3.03, 2 F 3.33
F 0.3094 0.3094 0.5127  1 Ga 1.79
F 0.6906 0.6906 0.4873  1 Ga 1.79
F 0.1317 0.4893 0.1493  1 Ga 1.82
F 0.5403 0.5403 0.1932  1 Ga 1.79
F 0.5107 0.8683 0.8507  1 Ga 1.82
F 0.4893 0.1317 0.1493  1 Ga 1.82
F 0.4597 0.4597 0.8068  1 Ga 1.79
F 0.8683 0.5107 0.8507  1 Ga 1.82

Calculated values
- Crystal system: monoclinic
- VASP energy: -4.735 eV/atom
- Spin magnetization: 0.00 μB/atom
- Space group: C2/m



[13]
The following is a DFT calculation (PBE) of a relaxed structure of GaTeBrF2.

Lattice parameters (Å, degrees): 4.1263 5.7283 4.1263 90.00 90.00 90.00
Closest atoms and distances in Å follow each position.
Positions (direct):
Te 0.0000 0.5000 0.0000  2 Ga 2.86, 4 Br 2.92
Ga 0.0000 0.0000 0.0000  4 F 2.06
Br 0.5000 0.5000 0.5000  4 Te 2.92
F 0.0000 0.0000 0.5000  2 Ga 2.06
F 0.5000 0.0000 0.0000  2 Ga 2.06

Calculated values
- Crystal system: tetragonal
- VASP energy: -3.560 eV/atom
- Spin magnetization: 0.00 μB/atom
- Space group: P4/mmm



[14]
The following is a DFT calculation (PBE) of a relaxed structure of TlGaBrF2.

Lattice parameters (Å, degrees): 4.4674 4.4674 5.3684 90.00 90.00 90.00
Closest atoms and distances in Å follow each position.
Positions (direct):
Tl 0.5000 0.5000 0.5000  4 Br 3.16, 8 F 3.49
Ga 0.0000 0.0000 0.0000  4 F 2.23
Br 0.0000 0.0000 0.5000  2 Ga 2.68
F 0.0000 0.5000 0.0000  2 Ga 2.23
F 0.5000 0.0000 0.0000  2 Ga 2.23

Calculated values
- Crystal system: tetragonal
- VASP energy: -3.631 eV/atom
- Spin magnetization: 0.00 μB/atom
- Space group: P4/mmm